# 1
Gd3AsO7 | meta-GGA SCAN | PBEsol geometry

The energy above the most stable polymorph in this dataset is 0.0 kJ/mol of formula units. The raw total energy is -24.912 eV/atom. The density of states at the Fermi level is 0.000 states/eV per atom. The formation energy (no corrections) is -3.070 eV/atom.

The space group is Pnma (No. 62) and the conventional cell measures 7.283, 10.444 and 7.281 Å, with angles of 90.00, 90.00 and 90.00 degrees. Symmetry generates all atoms from Gd at (0.006, 0.250, 0.221), Gd at (0.246, 0.026, 0.546), As at (0.003, 0.750, 0.249), O at (0.034, 0.128, 0.935), O at (0.039, 0.624, 0.419), O at (0.247, 0.250, 0.670) and O at (0.247, 0.618, 0.771).



# 2
CrInCl2 | meta-GGA SCAN | PBEsol geometry

The energy above the most stable polymorph in this dataset is 0.2 kJ/mol of formula units. The raw total energy is -17.734 eV/atom. The density of states at the Fermi level is 0.241 states/eV per atom. The formation energy (no corrections) is -0.803 eV/atom.

The space group is Cm (No. 8) and the conventional cell measures 11.137, 3.305 and 5.664 Å, with angles of 90.00, 117.83 and 90.00 degrees. Symmetry generates all atoms from Cr at (0.000, 0.000, 0.000), In at (0.241, 0.500, 0.487), Cl at (0.085, 0.500, 0.827) and Cl at (0.402, 0.000, 0.147).



# 3
LaFeOs2 | meta-GGA SCAN | PBEsol geometry

The energy above the most stable polymorph in this dataset is 11.7 kJ/mol of formula units. The raw total energy is -50.704 eV/atom. The density of states at the Fermi level is 0.672 states/eV per atom.

The space group is Imm2 (No. 44) and the conventional cell measures 2.936, 4.880 and 9.636 Å, with angles of 90.00, 90.00 and 90.00 degrees. Symmetry generates all atoms from La at (0.000, 0.000, 0.000), Fe at (0.000, 0.500, 0.220), Os at (0.000, 0.000, 0.505) and Os at (0.000, 0.500, 0.781).



# 4
BeBiAsBr2 | meta-GGA SCAN | PBEsol geometry

The raw total energy is -27.642 eV/atom. The density of states at the Fermi level is 0.285 states/eV per atom. The formation energy (no corrections) is 0.767 eV/atom.

The space group is P4/mmm (No. 123) and the conventional cell measures 5.607, 5.607 and 5.712 Å, with angles of 90.00, 90.00 and 90.00 degrees. Symmetry generates all atoms from Be at (0.000, 0.000, 0.000), Bi at (0.500, 0.500, 0.500), As at (0.500, 0.500, 0.000) and Br at (0.000, 0.500, 0.500).



What is the formula in the first record? Gd3AsO7



What did the second record say?
CrInCl2 | meta-GGA SCAN | PBEsol geometry

The energy above the most stable polymorph in this dataset is 0.2 kJ/mol of formula units. The raw total energy is -17.734 eV/atom. The density of states at the Fermi level is 0.241 states/eV per atom. The formation energy (no corrections) is -0.803 eV/atom.

The space group is Cm (No. 8) and the conventional cell measures 11.137, 3.305 and 5.664 Å, with angles of 90.00, 117.83 and 90.00 degrees. Symmetry generates all atoms from Cr at (0.000, 0.000, 0.000), In at (0.241, 0.500, 0.487), Cl at (0.085, 0.500, 0.827) and Cl at (0.402, 0.000, 0.147).